Here is an optimized crystal structure of NdFe2SnO6 from the Alexandria database. Energies are from PBE with a Hubbard U.

Results
uncorrected energy: -6.784 eV per atom

Cell lengths 5.4001, 5.3890, 5.7353 Å; angles 62.15, 62.99, 59.91 degrees
Last column: nearest neighbours and their distance in Å.
Fractional positions:
O1 0.9222 0.6287 0.2214  2 Fe 2.01-2.14, 1 Sn 2.10
O2 0.7333 0.1699 0.7503  2 Fe 2.00-2.20, 1 Sn 2.15
O3 0.2352 0.9145 0.2291  2 Fe 2.05, 1 Sn 2.10
O4 0.3384 0.7412 0.7628  1 Fe 1.94, 1 Sn 2.13
O5 0.6334 0.2250 0.2226  2 Fe 2.02-2.14, 1 Sn 2.09
O6 0.1592 0.3405 0.7585  1 Fe 1.97, 1 Sn 2.13
Fe1 0.0101 0.0070 0.9730  6 O 1.94-2.05
Fe2 0.5234 0.5284 0.4261  5 O 2.05-2.28
Nd1 0.7890 0.7908 0.6206  6 O 2.30-2.57
Sn1 0.3174 0.3155 0.0507  6 O 2.09-2.15